# K2NpCu2Te4

K2NpCu2Te4 after structural relaxation (PBE, Alexandria).

a b c (Å): 4.363 8.457 8.245
angles (deg): 108.61 105.34 90.00
Each line ends with the local moment (μB).
Element x y z (fractional)
1 Np 0.000 0.000 0.000  3.60
2 Te 0.798 0.820 0.596  -0.07
3 Te 0.480 0.240 0.959  -0.09
4 Te 0.520 0.760 0.041  -0.09
5 Te 0.202 0.180 0.404  -0.07
6 Cu 0.319 0.010 0.638  -0.07
7 Cu 0.681 0.990 0.362  -0.07
8 K 0.135 0.564 0.270  0.00
9 K 0.865 0.436 0.730  0.00

Computed properties:
Density (g/cm³): 5.71
V (Å³/cell): 276.9
Uncorrected formation energy (eV/atom): -0.663
E (eV per cell): -41.87
Density of states at the Fermi level (states/eV/atom): 0.857
Spin magnetization (μB/atom): 0.34


# K3Np3CuTe8

K3Np3CuTe8 after structural relaxation (PBE, Alexandria).

a b c (Å): 9.044 8.746 9.599
angles (deg): 115.15 90.00 121.13
Each line ends with the local moment (μB).
Element x y z (fractional)
1 Np 0.500 0.500 0.500  3.67
2 Np 0.000 0.500 0.500  3.67
3 Np 0.500 0.000 0.500  3.61
4 Te 0.280 0.037 0.293  -0.15
5 Te 0.720 0.963 0.707  -0.15
6 Te 0.798 0.596 0.323  -0.11
7 Te 0.202 0.404 0.677  -0.11
8 Te 0.737 0.474 0.712  -0.09
9 Te 0.244 0.963 0.707  -0.15
10 Te 0.263 0.526 0.288  -0.09
11 Te 0.756 0.037 0.293  -0.15
12 K 0.000 0.500 0.000  0.00
13 K 0.000 0.000 0.000  -0.01
14 K 0.500 0.500 0.000  0.00
15 Cu 0.000 0.000 0.500  -0.08

Computed properties:
Density (g/cm³): 5.63
V (Å³/cell): 564.2
Uncorrected formation energy (eV/atom): -0.665
E (eV per cell): -81.31
Density of states at the Fermi level (states/eV/atom): 1.783
Spin magnetization (μB/atom): 0.63


# K5CuO3

K5CuO3 after structural relaxation (PBE, Alexandria).

a b c (Å): 6.754 6.754 9.791
angles (deg): 83.70 83.70 78.12
Each line ends with the local moment (μB).
Element x y z (fractional)
1 K 0.341 0.966 0.295  0.00
2 K 0.224 0.224 0.918  0.00
3 K 0.776 0.776 0.082  0.00
4 K 0.966 0.341 0.295  0.00
5 K 0.695 0.305 0.000  0.00
6 K 0.659 0.034 0.705  0.00
7 K 0.034 0.659 0.705  0.00
8 K 0.431 0.431 0.371  0.00
9 K 0.305 0.695 0.000  0.00
10 K 0.569 0.569 0.629  0.00
11 O 0.667 0.667 0.848  0.00
12 O 0.692 0.692 0.361  0.00
13 O 0.000 0.000 0.500  0.00
14 O 0.308 0.308 0.639  0.00
15 O 0.333 0.333 0.152  0.00
16 O 0.000 0.000 0.000  0.09
17 Cu 0.849 0.849 0.419  0.01
18 Cu 0.151 0.151 0.581  0.01

Computed properties:
Density (g/cm³): 2.36
V (Å³/cell): 432.7
Uncorrected formation energy (eV/atom): -0.929
E (eV per cell): -65.63
Spin magnetization (μB/atom): 0.01